<one>
Density functional theory data (GGA-PBE) for an optimized crystal structure of NiAgIr2.

Cell and atoms, written as POSCAR:
```
NiAgIr2
1.0
8.977 0.000 0.000
0.000 2.750 0.000
-0.861 0.000 4.728
Ni Ag Ir
2 2 4
Cartesian
0.000 0.000 0.000
4.488 1.375 0.000
2.086 1.375 1.056
6.575 0.000 1.056
-0.329 1.375 2.562
1.715 0.000 3.433
4.160 0.000 2.562
6.204 1.375 3.433
```

Values from the calculation:
**Symmetry**: No. 8
**Magnetization**: 0.00 μB per cell

<two>
Density functional theory data (GGA-PBE) for an optimized crystal structure of NiAgIr2.

Cell and atoms, written as POSCAR:
```
NiAgIr2
1.0
9.927 0.000 0.000
0.000 2.723 0.000
-1.471 0.000 4.309
Ni Ag Ir
2 2 4
Cartesian
0.000 0.000 0.000
4.963 1.362 0.000
-0.735 1.362 2.154
4.228 0.000 2.154
1.883 1.362 0.973
1.609 0.000 3.336
6.847 0.000 0.973
6.573 1.362 3.336
```

Values from the calculation:
**Symmetry**: No. 12
**Magnetization**: 0.00 μB per cell

<three>
Density functional theory data (GGA-PBE) for an optimized crystal structure of NiAgIr2.

Cell and atoms, written as POSCAR:
```
NiAgIr2
1.0
2.710 0.000 0.000
0.000 2.710 0.000
0.000 0.000 7.875
Ni Ag Ir
1 1 2
Cartesian
0.000 0.000 0.000
0.000 0.000 3.938
1.355 1.355 1.721
1.355 1.355 6.154
```

Values from the calculation:
**Symmetry**: No. 123
**Magnetization**: 0.00 μB per cell

Most favorable first, least favorable last: <two>, <one>, <three>

<one>
Density functional theory data (GGA-PBE) for an optimized crystal structure of NiAgIr2.

Cell and atoms, written as POSCAR:
```
NiAgIr2
1.0
3.887 0.000 0.000
0.000 3.887 0.000
0.000 0.000 7.601
Ni Ag Ir
2 2 4
Cartesian
0.000 0.000 0.000
1.944 1.944 3.800
0.000 1.944 5.700
1.944 0.000 1.900
0.000 0.000 3.800
0.000 1.944 1.900
1.944 0.000 5.700
1.944 1.944 0.000
```

Values from the calculation:
**Symmetry**: No. 119
**Magnetization**: 0.00 μB per cell

<two>
Density functional theory data (GGA-PBE) for an optimized crystal structure of NiAgIr2.

Cell and atoms, written as POSCAR:
```
NiAgIr2
1.0
2.732 0.000 0.000
0.000 4.622 0.000
0.000 0.000 4.670
Ni Ag Ir
1 1 2
Cartesian
0.000 0.000 0.000
1.366 2.311 0.000
0.000 2.311 2.335
1.366 0.000 2.335
```

Values from the calculation:
**Symmetry**: No. 47
**Magnetization**: 1.10 μB per cell

<three>
Density functional theory data (GGA-PBE) for an optimized crystal structure of NiAgIr2.

Cell and atoms, written as POSCAR:
```
NiAgIr2
1.0
2.748 0.000 0.000
0.000 2.748 0.000
0.000 0.000 7.670
Ni Ag Ir
1 1 2
Cartesian
0.000 0.000 0.000
1.374 1.374 1.950
0.000 0.000 4.136
1.374 1.374 5.968
```

Values from the calculation:
**Symmetry**: No. 99
**Magnetization**: 0.00 μB per cell

Most favorable first, least favorable last: <three>, <one>, <two>

<one>
Density functional theory data (GGA-PBE) for an optimized crystal structure of NiAg3Ir.

Cell and atoms, written as POSCAR:
```
NiAg3Ir
1.0
5.030 0.000 0.000
0.000 5.030 0.000
0.000 0.000 5.030
Ni Ag Ir
1 3 1
Cartesian
0.000 0.000 0.000
0.000 2.515 2.515
2.515 0.000 2.515
2.515 2.515 0.000
2.515 2.515 2.515
```

Values from the calculation:
**Symmetry**: No. 221
**Magnetization**: 0.98 μB per cell

<two>
Density functional theory data (GGA-PBE) for an optimized crystal structure of NiAg3Ir.

Cell and atoms, written as POSCAR:
```
NiAg3Ir
1.0
4.627 0.000 0.000
0.000 4.627 0.000
0.000 0.000 4.627
Ni Ag Ir
1 3 1
Cartesian
0.000 0.000 0.000
0.000 0.000 2.313
0.000 2.313 0.000
2.313 0.000 0.000
2.313 2.313 2.313
```

Values from the calculation:
**Symmetry**: No. 221
**Magnetization**: 1.32 μB per cell

Most favorable first, least favorable last: <two>, <one>

<one>
Density functional theory data (GGA-PBE) for an optimized crystal structure of Ni2AgPIr.

Cell and atoms, written as POSCAR:
```
Ni2AgPIr
1.0
4.489 0.000 0.000
0.000 4.489 0.000
0.000 0.000 5.062
Ni Ag P Ir
2 1 1 1
Cartesian
0.000 2.244 0.000
2.244 0.000 0.000
0.000 0.000 2.531
2.244 2.244 2.531
0.000 0.000 0.000
```

Values from the calculation:
**Symmetry**: No. 123
**Magnetization**: 1.88 μB per cell

<two>
Density functional theory data (GGA-PBE) for an optimized crystal structure of Ni2AgPIr.

Cell and atoms, written as POSCAR:
```
Ni2AgPIr
1.0
4.509 0.000 0.000
0.000 4.509 0.000
0.000 0.000 4.904
Ni Ag P Ir
2 1 1 1
Cartesian
0.000 2.254 0.000
2.254 0.000 0.000
0.000 0.000 0.000
2.254 2.254 2.452
0.000 0.000 2.452
```

Values from the calculation:
**Symmetry**: No. 123
**Magnetization**: 2.02 μB per cell

Most favorable first, least favorable last: <one>, <two>

<one>
Density functional theory data (GGA-PBE) for an optimized crystal structure of AgIr2Os.

Cell and atoms, written as POSCAR:
```
AgIr2Os
1.0
7.226 0.000 0.000
0.000 7.226 0.000
0.000 0.000 5.343
Ag Ir Os
4 8 4
Cartesian
0.000 0.000 0.000
0.000 3.613 1.336
3.613 0.000 4.007
3.613 3.613 2.671
1.497 1.806 3.339
1.806 5.110 4.675
1.806 5.729 2.003
2.116 1.806 0.668
5.110 5.419 0.668
5.419 1.497 2.003
5.419 2.116 4.675
5.729 5.419 3.339
0.000 0.000 2.671
0.000 3.613 4.007
3.613 0.000 1.336
3.613 3.613 0.000
```

Values from the calculation:
**Symmetry**: No. 122
**Magnetization**: 0.00 μB per cell

<two>
Density functional theory data (GGA-PBE) for an optimized crystal structure of AgIr2Os.

Cell and atoms, written as POSCAR:
```
AgIr2Os
1.0
2.750 0.000 0.000
0.000 2.750 0.000
0.000 0.000 8.053
Ag Ir Os
1 2 1
Cartesian
0.000 0.000 0.000
0.000 0.000 4.073
1.375 1.375 2.149
1.375 1.375 5.891
```

Values from the calculation:
**Symmetry**: No. 99
**Magnetization**: 0.00 μB per cell

<three>
Density functional theory data (GGA-PBE) for an optimized crystal structure of AgIr2Os.

Cell and atoms, written as POSCAR:
```
AgIr2Os
1.0
3.911 0.000 0.000
0.000 3.911 0.000
0.000 0.000 7.849
Ag Ir Os
2 4 2
Cartesian
0.000 0.000 0.000
1.956 1.956 3.924
0.000 1.956 1.962
0.000 1.956 5.886
1.956 0.000 1.962
1.956 0.000 5.886
0.000 0.000 3.924
1.956 1.956 0.000
```

Values from the calculation:
**Symmetry**: No. 139
**Magnetization**: 0.00 μB per cell

Most favorable first, least favorable last: <two>, <three>, <one>

<one>
Density functional theory data (GGA-PBE) for an optimized crystal structure of AgIrOs.

Cell and atoms, written as POSCAR:
```
AgIrOs
1.0
2.771 0.000 0.000
0.000 2.771 0.000
0.000 0.000 12.174
Ag Ir Os
2 2 2
Cartesian
0.000 0.000 0.000
1.386 1.386 6.087
0.000 0.000 3.890
1.386 1.386 9.977
0.000 0.000 8.260
1.386 1.386 2.173
```

Values from the calculation:
**Symmetry**: No. 107
**Magnetization**: 0.00 μB per cell

<two>
Density functional theory data (GGA-PBE) for an optimized crystal structure of AgIrOs.

Cell and atoms, written as POSCAR:
```
AgIrOs
1.0
2.759 0.000 0.000
0.000 4.731 0.000
0.000 0.000 14.549
Ag Ir Os
4 4 4
Cartesian
0.000 0.000 0.000
0.000 2.366 7.275
1.379 0.000 7.275
1.379 2.366 0.000
0.000 0.000 9.802
0.000 2.366 2.528
1.379 0.000 2.528
1.379 2.366 9.802
0.000 0.000 4.729
0.000 2.366 12.004
1.379 0.000 12.004
1.379 2.366 4.729
```

Values from the calculation:
**Symmetry**: No. 42
**Magnetization**: 1.42 μB per cell

<three>
Density functional theory data (GGA-PBE) for an optimized crystal structure of AgIrOs.

Cell and atoms, written as POSCAR:
```
AgIrOs
1.0
6.006 0.000 0.000
0.000 6.006 0.000
0.000 0.000 6.006
Ag Ir Os
4 4 4
Cartesian
0.000 0.000 0.000
0.000 3.003 3.003
3.003 0.000 3.003
3.003 3.003 0.000
1.502 1.502 1.502
1.502 4.505 4.505
4.505 1.502 4.505
4.505 4.505 1.502
0.000 0.000 3.003
0.000 3.003 0.000
3.003 0.000 0.000
3.003 3.003 3.003
```

Values from the calculation:
**Symmetry**: No. 216
**Magnetization**: 0.00 μB per cell

Most favorable first, least favorable last: <one>, <two>, <three>